No. 1
Computed, not measured: an optimized crystal structure of ZnHPt3 at the GGA-PBE level of DFT.

The structure in POSCAR format:
```
ZnHPt3
1.0
5.420 0.027 1.639
2.441 4.839 1.639
0.007 0.004 9.804
Zn Pt H
4 12 4
Direct
0.874 0.376 0.875
0.376 0.874 0.375
0.624 0.126 0.625
0.126 0.624 0.125
0.624 0.627 0.624
0.123 0.627 0.625
0.123 0.126 0.626
0.877 0.874 0.374
0.627 0.123 0.125
0.376 0.373 0.376
0.627 0.624 0.124
0.373 0.376 0.876
0.874 0.877 0.874
0.126 0.123 0.126
0.373 0.877 0.875
0.877 0.373 0.375
0.500 0.000 0.000
0.736 0.264 0.250
0.264 0.736 0.750
0.000 0.500 0.500
```

Energy in eV/atom: -4.75
Excess energy over the best structure of this formula in the dataset in meV/atom: 0.0
Spin magnetization in μB/atom: 0.0000

=====

No. 2
Computed, not measured: an optimized crystal structure of Sr2LaP at the GGA-PBE level of DFT.

The structure in POSCAR format:
```
Sr2LaP
1.0
-1.961 2.830 6.731
1.961 -2.830 6.731
1.961 2.830 -6.731
Sr La P
2 1 1
Direct
0.077 0.077 0.000
0.751 0.251 0.500
0.414 0.414 0.000
0.258 0.758 0.500
```

Energy in eV/atom: -3.91
Excess energy over the best structure of this formula in the dataset in meV/atom: 76.7
Spin magnetization in μB/atom: 0.0005

=====

What did the first record say?
Computed, not measured: an optimized crystal structure of ZnHPt3 at the GGA-PBE level of DFT.

The structure in POSCAR format:
```
ZnHPt3
1.0
5.420 0.027 1.639
2.441 4.839 1.639
0.007 0.004 9.804
Zn Pt H
4 12 4
Direct
0.874 0.376 0.875
0.376 0.874 0.375
0.624 0.126 0.625
0.126 0.624 0.125
0.624 0.627 0.624
0.123 0.627 0.625
0.123 0.126 0.626
0.877 0.874 0.374
0.627 0.123 0.125
0.376 0.373 0.376
0.627 0.624 0.124
0.373 0.376 0.876
0.874 0.877 0.874
0.126 0.123 0.126
0.373 0.877 0.875
0.877 0.373 0.375
0.500 0.000 0.000
0.736 0.264 0.250
0.264 0.736 0.750
0.000 0.500 0.500
```

Energy in eV/atom: -4.75
Excess energy over the best structure of this formula in the dataset in meV/atom: 0.0
Spin magnetization in μB/atom: 0.0000

=====

> Among the records above, which one has the lowest energy?

ZnHPt3

=====

What did the first record say?
Computed, not measured: an optimized crystal structure of ZnHPt3 at the GGA-PBE level of DFT.

The structure in POSCAR format:
```
ZnHPt3
1.0
5.420 0.027 1.639
2.441 4.839 1.639
0.007 0.004 9.804
Zn Pt H
4 12 4
Direct
0.874 0.376 0.875
0.376 0.874 0.375
0.624 0.126 0.625
0.126 0.624 0.125
0.624 0.627 0.624
0.123 0.627 0.625
0.123 0.126 0.626
0.877 0.874 0.374
0.627 0.123 0.125
0.376 0.373 0.376
0.627 0.624 0.124
0.373 0.376 0.876
0.874 0.877 0.874
0.126 0.123 0.126
0.373 0.877 0.875
0.877 0.373 0.375
0.500 0.000 0.000
0.736 0.264 0.250
0.264 0.736 0.750
0.000 0.500 0.500
```

Energy in eV/atom: -4.75
Excess energy over the best structure of this formula in the dataset in meV/atom: 0.0
Spin magnetization in μB/atom: 0.0000

=====

> What is the spin magnetization in the first record?

0.0000 μB/atom